Entry 1:
The following is a DFT calculation (PBE) of a geometry-optimized GaAg12Au3 structure.

Results
density of states at the Fermi level = 0.318 states/eV per atom
crystal system = tetragonal
electronic total energy = -2.96 eV/atom
space group = P4/mmm (123)

a b c (Å): 4.1734 4.1734 16.3487
angles (deg): 90.00 90.00 90.00
Closest atoms and distances in Å follow each position.
Element x y z (fractional)
Ga 0.0000 0.0000 0.0000  12 Ag 2.89-2.95
Ag 0.5000 0.5000 0.0000  8 Ag 2.89, 4 Ga 2.95
Ag 0.5000 0.5000 0.2487  8 Ag 2.93, 4 Au 2.95
Ag 0.5000 0.5000 0.5000  8 Ag 2.93, 4 Au 2.95
Ag 0.5000 0.5000 0.7513  8 Ag 2.93, 4 Au 2.95
Ag 0.5000 0.0000 0.1227  2 Ga 2.89, 8 Ag 2.89-2.95, 2 Au 2.94
Ag 0.5000 0.0000 0.3744  4 Au 2.92-2.93, 8 Ag 2.93-2.95
Ag 0.5000 0.0000 0.6256  4 Au 2.92-2.93, 8 Ag 2.93-2.95
Ag 0.5000 0.0000 0.8773  2 Ga 2.89, 8 Ag 2.89-2.95, 2 Au 2.94
Ag 0.0000 0.5000 0.1227  2 Ga 2.89, 8 Ag 2.89-2.95, 2 Au 2.94
Ag 0.0000 0.5000 0.3744  4 Au 2.92-2.93, 8 Ag 2.93-2.95
Ag 0.0000 0.5000 0.6256  4 Au 2.92-2.93, 8 Ag 2.93-2.95
Ag 0.0000 0.5000 0.8773  2 Ga 2.89, 8 Ag 2.89-2.95, 2 Au 2.94
Au 0.0000 0.0000 0.2493  12 Ag 2.92-2.95
Au 0.0000 0.0000 0.5000  12 Ag 2.93-2.95
Au 0.0000 0.0000 0.7507  12 Ag 2.92-2.95

=====

Entry 2:
The following is a DFT calculation (PBE) of a geometry-optimized SrPmGa4 structure.

Results
density of states at the Fermi level = 0.692 states/eV per atom
crystal system = tetragonal
space group = I-4m2 (119)
ΔE to the lowest computed polymorph = 4.3 kJ/mol of atoms

a b c (Å): 4.3332 4.3332 8.2138
angles (deg): 105.29 105.29 90.00
Closest atoms and distances in Å follow each position.
Element x y z (fractional)
Sr 0.0000 0.0000 0.0000  12 Ga 3.33-3.37
Pm 0.2500 0.7500 0.5000  12 Ga 3.30-3.32
Ga 0.6692 0.1692 0.3383  3 Ga 2.46-2.52
Ga 0.5852 0.5852 0.1704  3 Ga 2.52-2.60
Ga 0.8308 0.3308 0.6617  3 Ga 2.46-2.52
Ga 0.4148 0.4148 0.8296  3 Ga 2.52-2.60

=====

Entry 3:
The following is a DFT calculation (PBE) of a geometry-optimized Sm3Dy4Ho4 structure.

Results
density of states at the Fermi level = 1.568 states/eV per atom
crystal system = orthorhombic
space group = Amm2 (38)
ΔE to the lowest computed polymorph = 0.0 kJ/mol of atoms

a b c (Å): 5.6748 6.6430 10.5470
angles (deg): 90.00 90.00 115.29
Closest atoms and distances in Å follow each position.
Element x y z (fractional)
Sm 0.4062 0.8123 0.2956  5 Dy 3.35-3.69, 4 Ho 3.49-3.57, 1 Sm 3.61
Sm 0.4062 0.8123 0.7044  5 Dy 3.35-3.69, 4 Ho 3.49-3.57, 1 Sm 3.61
Sm 0.2545 0.5090 0.0000  7 Ho 3.58-3.74, 5 Dy 3.58-3.73, 2 Sm 3.61
Dy 0.6195 0.2390 0.5000  3 Ho 3.26-3.44, 2 Sm 3.35, 4 Dy 3.59
Dy 0.5532 0.1064 0.0000  4 Ho 3.07-3.29
Dy 0.1020 0.2039 0.7079  4 Ho 3.35-3.54, 4 Sm 3.58-3.69, 2 Dy 3.59
Dy 0.1020 0.2039 0.2921  4 Ho 3.35-3.54, 4 Sm 3.58-3.69, 2 Dy 3.59
Ho 0.7536 0.5071 0.7877  4 Dy 3.29-3.47, 2 Ho 3.31-3.46, 4 Sm 3.49-3.61
Ho 0.7536 0.5071 0.2123  4 Dy 3.29-3.47, 2 Ho 3.31-3.46, 4 Sm 3.49-3.61
Ho 0.8912 0.7824 0.5000  3 Dy 3.26-3.35, 2 Ho 3.46, 4 Sm 3.57
Ho 0.9567 0.9134 0.0000  2 Dy 3.07, 2 Ho 3.31

=====

Entry 4:
The following is a DFT calculation (PBE) of a geometry-optimized Tb3CuAu structure.

Results
density of states at the Fermi level = 1.001 states/eV per atom
crystal system = monoclinic
electronic total energy = -4.50 eV/atom
space group = Pm (6)

a b c (Å): 3.7775 8.8530 8.8677
angles (deg): 64.76 90.00 90.00
Closest atoms and distances in Å follow each position.
Element x y z (fractional)
Tb 0.8635 0.3917 0.8220  2 Cu 2.84, 2 Au 3.11
Tb 0.8634 0.9968 0.6703  2 Cu 2.84, 2 Au 3.11
Tb 0.8631 0.6173 0.0494  2 Cu 2.84, 2 Au 3.11
Tb 0.3631 0.0418 0.0934  2 Cu 2.78, 2 Au 2.97
Tb 0.8631 0.7709 0.4432  2 Cu 2.84, 2 Au 3.11
Tb 0.3631 0.3472 0.3997  2 Cu 2.78, 2 Au 2.97
Cu 0.3631 0.6944 0.2460  6 Tb 2.78-2.84
Cu 0.3635 0.1940 0.7465  6 Tb 2.78-2.84
Au 0.3633 0.6941 0.7464  8 Tb 3.11
Au 0.8631 0.1934 0.2476  4 Tb 2.97

=====

Entry 5:
The following is a DFT calculation (PBE) of a geometry-optimized Rb2NbTeO6 structure.

Results
density of states at the Fermi level = 0.169 states/eV per atom
crystal system = cubic
electronic total energy = -6.21 eV/atom
space group = Fm-3m (225)

a b c (Å): 5.8548 5.8548 5.8537
angles (deg): 59.99 59.99 90.01
Closest atoms and distances in Å follow each position.
Element x y z (fractional)
Rb 0.7500 0.2500 0.5000  12 O 2.93
Rb 0.2500 0.7500 0.5000  12 O 2.93
Nb 0.0000 0.0000 0.0000  6 O 2.04
Te 0.5000 0.5000 0.0000  6 O 2.10
O 0.2467 0.2467 0.5072  1 Nb 2.04, 1 Te 2.10
O 0.7534 0.7534 0.0007  1 Nb 2.04, 1 Te 2.10
O 0.2462 0.7539 0.0000  1 Nb 2.04, 1 Te 2.10
O 0.7538 0.2461 0.0000  1 Nb 2.04, 1 Te 2.10
O 0.2466 0.2466 0.9993  1 Nb 2.04, 1 Te 2.10
O 0.7533 0.7533 0.4929  1 Nb 2.04, 1 Te 2.10

=====

Entry 6:
The following is a DFT calculation (PBE) of a geometry-optimized PrHoGaRu structure.

Results
density of states at the Fermi level = 0.618 states/eV per atom
crystal system = cubic
space group = F-43m (216)
ΔE to the lowest computed polymorph = 7.0 kJ/mol of atoms

a b c (Å): 5.0305 5.0305 5.0305
angles (deg): 60.00 60.00 60.00
Closest atoms and distances in Å follow each position.
Element x y z (fractional)
Pr 0.5000 0.5000 0.5000  4 Ru 3.08, 4 Ga 3.08
Ru 0.7500 0.7500 0.7500  4 Pr 3.08, 4 Ho 3.08
Ho 0.0000 0.0000 0.0000  4 Ga 3.08, 4 Ru 3.08
Ga 0.2500 0.2500 0.2500  4 Pr 3.08, 4 Ho 3.08

=====

Entry 7:
The following is a DFT calculation (PBE) of a geometry-optimized Mg2MnTl structure.

Results
density of states at the Fermi level = 0.682 states/eV per atom
crystal system = trigonal
space group = R-3m (166)
ΔE to the lowest computed polymorph = 7.7 kJ/mol of atoms

a b c (Å): 9.9411 9.9411 9.9411
angles (deg): 18.62 18.62 18.62
Closest atoms and distances in Å follow each position.
Element x y z (fractional)
Mg 0.9933 0.9933 0.9933  3 Mn 2.91, 6 Mg 3.22, 3 Tl 3.23
Mg 0.5067 0.5067 0.5067  3 Mn 2.91, 6 Mg 3.22, 3 Tl 3.23
Mn 0.2500 0.2500 0.2500  6 Mg 2.91, 6 Mn 3.22
Tl 0.7500 0.7500 0.7500  6 Tl 3.22, 6 Mg 3.23

=====

Entry 8:
The following is a DFT calculation (PBE) of a geometry-optimized Tl2IrBrN structure.

Results
density of states at the Fermi level = 0.061 states/eV per atom
crystal system = tetragonal
electronic total energy = -4.83 eV/atom
space group = P4/mmm (123)

a b c (Å): 5.6766 5.6766 3.7359
angles (deg): 90.00 90.00 90.00
Closest atoms and distances in Å follow each position.
Element x y z (fractional)
Tl 0.0000 0.5000 0.0000  2 Ir 2.84
Tl 0.5000 0.0000 0.0000  2 Ir 2.84
Ir 0.0000 0.0000 0.0000  2 N 1.87
Br 0.5000 0.5000 0.5000  8 Tl 3.40, 2 Br 3.74
N 0.0000 0.0000 0.5000  2 Ir 1.87

=====

Entry 9:
The following is a DFT calculation (PBE) of a geometry-optimized BaTcBi2 structure.

Results
density of states at the Fermi level = 0.440 states/eV per atom
crystal system = tetragonal
space group = I-42d (122)
ΔE to the lowest computed polymorph = 0.0 kJ/mol of atoms

a b c (Å): 6.0301 6.0301 9.5689
angles (deg): 71.63 71.63 90.00
Closest atoms and distances in Å follow each position.
Element x y z (fractional)
Tc 0.5000 0.5000 0.0000  4 Bi 2.67
Tc 0.2500 0.7500 0.5000  4 Bi 2.67
Bi 0.4599 0.1250 0.2500  2 Tc 2.67
Bi 0.2901 0.6250 0.2500  2 Tc 2.67
Bi 0.3750 0.5401 0.7500  2 Tc 2.67
Bi 0.8750 0.7099 0.7500  2 Tc 2.67
Ba 0.0000 0.0000 0.0000  4 Bi 3.62
Ba 0.7500 0.2500 0.5000  4 Bi 3.62

=====

Entry 10:
The following is a DFT calculation (PBE) of a geometry-optimized MgAl2Ag2 structure.

Results
density of states at the Fermi level = 0.383 states/eV per atom
crystal system = tetragonal
space group = I4/mmm (139)
ΔE to the lowest computed polymorph = 16.9 kJ/mol of atoms

a b c (Å): 4.0113 4.0113 6.7692
angles (deg): 72.77 72.77 90.00
Closest atoms and distances in Å follow each position.
Element x y z (fractional)
Mg 0.0000 0.0000 0.0000  8 Al 3.11
Al 0.3966 0.3966 0.2069  1 Al 2.54, 4 Ag 2.70
Al 0.6034 0.6034 0.7931  1 Al 2.54, 4 Ag 2.70
Ag 0.7500 0.2500 0.5000  4 Al 2.70, 4 Ag 2.84
Ag 0.2500 0.7500 0.5000  4 Al 2.70, 4 Ag 2.84

=====

Entry 11:
The following is a DFT calculation (PBE) of a geometry-optimized Zn2CuTc structure.

Results
density of states at the Fermi level = 0.368 states/eV per atom
crystal system = monoclinic
space group = Cm (8)
ΔE to the lowest computed polymorph = 2.0 kJ/mol of atoms

a b c (Å): 5.1562 5.1562 4.7704
angles (deg): 64.19 64.19 29.08
Closest atoms and distances in Å follow each position.
Element x y z (fractional)
Cu 0.5005 0.5005 0.5928  2 Cu 2.59, 7 Zn 2.68-2.73, 3 Tc 2.72-2.75
Tc 0.2471 0.2471 0.1610  2 Tc 2.59, 7 Zn 2.65-2.72, 3 Cu 2.72-2.75
Zn 0.9990 0.9990 0.0892  5 Zn 2.59-2.77, 3 Tc 2.65-2.71, 4 Cu 2.69-2.73
Zn 0.7534 0.7534 0.6570  5 Zn 2.59-2.77, 3 Cu 2.68, 4 Tc 2.71-2.72

=====

Entry 12:
The following is a DFT calculation (PBE) of a geometry-optimized In2HPdPb structure.

Results
density of states at the Fermi level = 0.318 states/eV per atom
crystal system = tetragonal
electronic total energy = -3.54 eV/atom
space group = P4/mmm (123)

a b c (Å): 5.5812 5.5812 3.4698
angles (deg): 90.00 90.00 90.00
Closest atoms and distances in Å follow each position.
Element x y z (fractional)
Pb 0.5000 0.5000 0.5000  8 In 3.29, 2 Pb 3.47
H 0.0000 0.0000 0.5000  2 Pd 1.73
Pd 0.0000 0.0000 0.0000  2 H 1.73
In 0.0000 0.5000 0.0000  2 Pd 2.79
In 0.5000 0.0000 0.0000  2 Pd 2.79